A plane-wave DFT calculation with meta-GGA SCAN was carried out for a PBEsol-optimized structure of CrIrN2F.

Computed properties:
E_form (uncorrected) in eV/f.u.: 2.13
V in Å³/f.u.: 62
Spin magnetization in μB per cell: 4.017
Crystal system: tetragonal

Cell: 3.788 3.788 4.337 Å, 90.00 90.00 90.00°
Fractional positions:
Cr 0.000 0.000 0.000
Ir 0.500 0.500 0.500
N 0.000 0.500 0.500
N 0.500 0.000 0.500
F 0.500 0.500 0.000

A plane-wave DFT calculation with meta-GGA SCAN was carried out for a PBEsol-optimized structure of CrIrOF2.

Computed properties:
E_form (uncorrected) in eV/f.u.: -4.25
V in Å³/f.u.: 58
Spin magnetization in μB per cell: 5.202
Crystal system: tetragonal

Cell: 3.840 3.840 3.912 Å, 90.00 90.00 90.00°
Fractional positions:
Cr 0.000 0.000 0.000
Ir 0.500 0.500 0.500
O 0.000 0.000 0.500
F 0.000 0.500 0.000
F 0.500 0.000 0.000

A plane-wave DFT calculation with meta-GGA SCAN was carried out for a PBEsol-optimized structure of KCrF2.

Computed properties:
E_form (uncorrected) in eV/f.u.: -7.31
V in Å³/f.u.: 75
Spin magnetization in μB per cell: 4.404
Crystal system: trigonal

Cell: 6.944 6.944 6.944 Å, 30.17 30.17 30.17°
Fractional positions:
K 0.000 0.000 0.000
Cr 0.500 0.500 0.500
F 0.126 0.126 0.126
F 0.874 0.874 0.874

A plane-wave DFT calculation with meta-GGA SCAN was carried out for a PBEsol-optimized structure of K2CrF.

Computed properties:
E_form (uncorrected) in eV/f.u.: -1.76
V in Å³/f.u.: 120
Spin magnetization in μB per cell: 5.000
Crystal system: cubic

Cell: 5.534 5.534 5.534 Å, 60.00 60.00 60.00°
Fractional positions:
K 0.250 0.250 0.250
K 0.750 0.750 0.750
Cr 0.000 0.000 0.000
F 0.500 0.500 0.500

A plane-wave DFT calculation with meta-GGA SCAN was carried out for a PBEsol-optimized structure of KCr3F.

Computed properties:
E_form (uncorrected) in eV/f.u.: 1.87
V in Å³/f.u.: 107
Spin magnetization in μB per cell: 14.653
Crystal system: cubic

Cell: 4.750 4.750 4.750 Å, 90.00 90.00 90.00°
Fractional positions:
K 0.000 0.000 0.000
Cr 0.000 0.500 0.500
Cr 0.500 0.000 0.500
Cr 0.500 0.500 0.000
F 0.500 0.500 0.500

A plane-wave DFT calculation with meta-GGA SCAN was carried out for a PBEsol-optimized structure of K2LiCrF6.

Computed properties:
E_form (uncorrected) in eV/f.u.: -31.99
V in Å³/f.u.: 125
Spin magnetization in μB per cell: 3.000
Crystal system: cubic

Cell: 5.605 5.605 5.605 Å, 60.00 60.00 60.00°
Fractional positions:
K 0.250 0.250 0.250
K 0.750 0.750 0.750
Li 0.000 0.000 0.000
Cr 0.500 0.500 0.500
F 0.259 0.259 0.741
F 0.259 0.741 0.259
F 0.259 0.741 0.741
F 0.741 0.259 0.259
F 0.741 0.259 0.741
F 0.741 0.741 0.259

A plane-wave DFT calculation with meta-GGA SCAN was carried out for a PBEsol-optimized structure of KCrO3F.

Computed properties:
E_form (uncorrected) in eV/f.u.: -13.21
V in Å³/f.u.: 96
Spin magnetization in μB per cell: 0.001
Crystal system: triclinic

Cell: 5.481 5.486 7.416 Å, 111.09 110.82 90.11°
Fractional positions:
K 0.000 0.000 0.000
K 0.248 0.753 0.499
Cr 0.508 0.521 0.004
Cr 0.765 0.258 0.506
O 0.361 0.690 0.151
O 0.529 0.666 0.855
O 0.726 0.109 0.648
O 0.797 0.488 0.143
O 0.920 0.092 0.366
O 0.927 0.550 0.650
F 0.321 0.202 0.854
F 0.448 0.289 0.345

A plane-wave DFT calculation with meta-GGA SCAN was carried out for a PBEsol-optimized structure of K2RbCrF6.

Computed properties:
E_form (uncorrected) in eV/f.u.: -30.56
V in Å³/f.u.: 178
Spin magnetization in μB per cell: 3.000
Crystal system: cubic

Cell: 6.312 6.312 6.312 Å, 60.00 60.00 60.00°
Fractional positions:
K 0.250 0.250 0.250
K 0.750 0.750 0.750
Rb 0.000 0.000 0.000
Cr 0.500 0.500 0.500
F 0.287 0.287 0.713
F 0.287 0.713 0.287
F 0.287 0.713 0.713
F 0.713 0.287 0.287
F 0.713 0.287 0.713
F 0.713 0.713 0.287

A plane-wave DFT calculation with meta-GGA SCAN was carried out for a PBEsol-optimized structure of LaCr2F.

Computed properties:
E_form (uncorrected) in eV/f.u.: 1.49
V in Å³/f.u.: 69
Spin magnetization in μB per cell: 7.879
Crystal system: cubic

Cell: 4.613 4.613 4.613 Å, 60.00 60.00 60.00°
Fractional positions:
La 0.000 0.000 0.000
Cr 0.250 0.250 0.250
Cr 0.750 0.750 0.750
F 0.500 0.500 0.500

A plane-wave DFT calculation with meta-GGA SCAN was carried out for a PBEsol-optimized structure of La3CrF.

Computed properties:
E_form (uncorrected) in eV/f.u.: -4.65
V in Å³/f.u.: 126
Spin magnetization in μB per cell: 3.894
Crystal system: cubic

Cell: 5.020 5.020 5.020 Å, 90.00 90.00 90.00°
Fractional positions:
La 0.000 0.000 0.500
La 0.000 0.500 0.000
La 0.500 0.000 0.000
Cr 0.500 0.500 0.500
F 0.000 0.000 0.000

A plane-wave DFT calculation with meta-GGA SCAN was carried out for a PBEsol-optimized structure of La2CrNiF.

Computed properties:
E_form (uncorrected) in eV/f.u.: -3.65
V in Å³/f.u.: 102
Spin magnetization in μB per cell: 4.793
Crystal system: tetragonal

Cell: 4.998 4.998 4.064 Å, 90.00 90.00 90.00°
Fractional positions:
La 0.000 0.500 0.000
La 0.500 0.000 0.000
Cr 0.000 0.000 0.500
Ni 0.500 0.500 0.500
F 0.500 0.500 0.000

A plane-wave DFT calculation with meta-GGA SCAN was carried out for a PBEsol-optimized structure of LaCrOF2.

Computed properties:
E_form (uncorrected) in eV/f.u.: -13.08
V in Å³/f.u.: 67
Spin magnetization in μB per cell: 4.622
Crystal system: tetragonal

Cell: 4.119 4.119 3.940 Å, 90.00 90.00 90.00°
Fractional positions:
La 0.000 0.000 0.000
Cr 0.500 0.500 0.500
O 0.500 0.500 0.000
F 0.000 0.500 0.500
F 0.500 0.000 0.500

| no. | raw total energy (eV per cell) |
| --- | --- |
| 1 | -109.5 |
| 2 | -107.0 |
| 3 | -41.1 |
| 4 | -40.3 |
| 5 | -65.2 |
| 6 | -90.7 |
| 7 | -124.3 |
| 8 | -107.6 |
| 9 | -81.9 |
| 10 | -155.9 |
| 11 | -128.0 |
| 12 | -87.9 |